Entry 1:
{
  "formula": "Zr2TlPb",
  "functional": "meta-GGA SCAN",
  "state": "single point on PBEsol structure",
  "sg": "No. 225",
  "e_above_lowest_polymorph_mev_per_atom": 178,
  "formation_energy_ev_per_atom": -0.11,
  "lattice_angstrom": [[5.027, 0.000, 0.000], [2.513, 4.353, 0.000], [2.513, 1.451, 4.104]],
  "species": ["Zr", "Zr", "Tl", "Pb"],
  "frac_coords": [[0.750, 0.750, 0.750], [0.250, 0.250, 0.250], [0.000, 0.000, 0.000], [0.500, 0.500, 0.500]]
}

=====

Entry 2:
{
  "formula": "Zr2TlPb",
  "functional": "meta-GGA SCAN",
  "state": "single point on PBEsol structure",
  "sg": "No. 99",
  "e_above_lowest_polymorph_mev_per_atom": 282,
  "formation_energy_ev_per_atom": -0.01,
  "lattice_angstrom": [[3.182, 0.000, 0.000], [0.000, 3.182, 0.000], [0.000, 0.000, 9.648]],
  "species": ["Zr", "Zr", "Tl", "Pb"],
  "frac_coords": [[0.500, 0.500, 0.234], [0.000, 0.000, 0.011], [0.500, 0.500, 0.769], [0.000, 0.000, 0.485]]
}

=====

Entry 3:
{
  "formula": "Zr2TlPb",
  "functional": "meta-GGA SCAN",
  "state": "single point on PBEsol structure",
  "sg": "No. 8",
  "e_above_lowest_polymorph_mev_per_atom": 98,
  "formation_energy_ev_per_atom": -0.19,
  "lattice_angstrom": [[-0.915, -3.170, 0.173], [2.660, -1.007, -4.362], [3.550, 0.959, 4.805]],
  "species": ["Zr", "Zr", "Tl", "Pb"],
  "frac_coords": [[0.746, 0.311, 0.492], [0.002, 0.936, 0.005], [0.255, 0.825, 0.511], [0.496, 0.428, 0.992]]
}